Entry 1:
Material: Tb3Ce
Method: DFT, PBE-GGA
State: optimized geometry

Output
relative energy among the computed polymorphs = 48.3 kJ/mol of formula units
E_form = 0.19 eV/atom
total magnetic moment = 7.9 μB per cell

a = 8.0215 Å, b = 8.0215 Å, c = 8.0215 Å
α = 90.00°, β = 90.00°, γ = 90.00°
Last column: nearest neighbours and their distance in Å.
Space group Fm-3m (No. 225)
One atom of each set of equivalent atoms:
Tb  0.0000  0.0000  0.0000 [4 per cell]  8 Tb 3.47
Tb  0.2500  0.2500  0.2500 [8 per cell]  4 Tb 3.47, 4 Ce 3.47
Ce  0.0000  0.0000  0.5000 [4 per cell]  8 Tb 3.47



Entry 2:
Material: Tb7Ce
Method: DFT, PBE-GGA
State: optimized geometry

Output
E_form = 0.04 eV/atom
total magnetic moment = 3.1 μB per cell

a = 10.0498 Å, b = 10.0498 Å, c = 10.0498 Å
α = 90.00°, β = 90.00°, γ = 90.00°
Last column: nearest neighbours and their distance in Å.
Space group Fm-3m (No. 225)
One atom of each set of equivalent atoms:
Tb  0.0000  0.0000  0.0000 [4 per cell]  12 Tb 3.55
Tb  0.0000  0.2500  0.2500 [24 per cell]  10 Tb 3.55, 2 Ce 3.55
Ce  0.0000  0.0000  0.5000 [4 per cell]  12 Tb 3.55



Entry 3:
Material: Tb4Ce
Method: DFT, PBE-GGA
State: optimized geometry

Output
relative energy among the computed polymorphs = 0.0 kJ/mol of formula units
E_form = 0.04 eV/atom
total magnetic moment = 1.2 μB per cell

a = 6.1355 Å, b = 3.5383 Å, c = 14.5877 Å
α = 90.00°, β = 98.02°, γ = 90.00°
Last column: nearest neighbours and their distance in Å.
Space group C2/m (No. 12)
One atom of each set of equivalent atoms:
Tb  0.1020  0.0000  0.3031 [4 per cell]  3 Ce 3.50, 9 Tb 3.54-3.58
Tb  0.1999  0.5000  0.0998 [4 per cell]  12 Tb 3.53-3.58
Ce  0.0000  0.5000  0.5000 [2 per cell]  6 Tb 3.50, 6 Ce 3.54



Entry 4:
Material: Tb3Ce
Method: DFT, PBE-GGA
State: optimized geometry

Output
relative energy among the computed polymorphs = 7.1 kJ/mol of formula units
E_form = 0.08 eV/atom
total magnetic moment = 2.1 μB per cell

a = 5.0204 Å, b = 5.0204 Å, c = 10.0782 Å
α = 90.00°, β = 90.00°, γ = 90.00°
Last column: nearest neighbours and their distance in Å.
Space group I4/mmm (No. 139)
One atom of each set of equivalent atoms:
Tb  0.0000  0.0000  0.0000 [2 per cell]  4 Ce 3.55, 8 Tb 3.56
Tb  0.0000  0.5000  0.2500 [4 per cell]  8 Tb 3.55-3.56, 4 Ce 3.56
Ce  0.0000  0.0000  0.5000 [2 per cell]  12 Tb 3.55-3.56



Entry 5:
Material: Tb5Ce
Method: DFT, PBE-GGA
State: optimized geometry

Output
relative energy among the computed polymorphs = 0.0 kJ/mol of formula units
E_form = 0.04 eV/atom
total magnetic moment = 0.6 μB per cell

a = 3.5435 Å, b = 3.5435 Å, c = 15.0770 Å
α = 90.00°, β = 90.00°, γ = 90.00°
Last column: nearest neighbours and their distance in Å.
Space group P4/mmm (No. 123)
One atom of each set of equivalent atoms:
Tb  0.0000  0.0000  0.0000 [1 per cell]  12 Tb 3.54-3.56
Tb  0.0000  0.0000  0.3381 [2 per cell]  4 Ce 3.50, 8 Tb 3.54-3.59
Tb  0.5000  0.5000  0.1679 [2 per cell]  12 Tb 3.54-3.59
Ce  0.5000  0.5000  0.5000 [1 per cell]  8 Tb 3.50, 4 Ce 3.54



Entry 6:
Material: Tb3Ce
Method: DFT, PBE-GGA
State: optimized geometry

Output
relative energy among the computed polymorphs = 1.3 kJ/mol of formula units
E_form = 0.07 eV/atom
total magnetic moment = 0.5 μB per cell

a = 5.0122 Å, b = 5.0122 Å, c = 5.0122 Å
α = 90.00°, β = 90.00°, γ = 90.00°
Last column: nearest neighbours and their distance in Å.
Space group Pm-3m (No. 221)
One atom of each set of equivalent atoms:
Tb  0.0000  0.0000  0.5000 [3 per cell]  8 Tb 3.54, 4 Ce 3.54
Ce  0.5000  0.5000  0.5000 [1 per cell]  12 Tb 3.54



Entry 7:
Material: Tb3Ce
Method: DFT, PBE-GGA
State: optimized geometry

Output
relative energy among the computed polymorphs = 5.5 kJ/mol of formula units
E_form = 0.08 eV/atom
total magnetic moment = 1.1 μB per cell

a = 3.5776 Å, b = 5.7268 Å, c = 6.2249 Å
α = 90.00°, β = 90.00°, γ = 90.00°
Last column: nearest neighbours and their distance in Å.
Space group Pmm2 (No. 25)
One atom of each set of equivalent atoms:
Tb  0.0000  0.0000  0.0000 [1 per cell]  8 Tb 3.53-3.58, 4 Ce 3.56-3.62
Tb  0.0000  0.5000  0.3310 [1 per cell]  4 Ce 3.53, 8 Tb 3.53-3.63
Tb  0.5000  0.5000  0.8242 [1 per cell]  2 Ce 3.53, 10 Tb 3.55-3.63
Ce  0.5000  0.0000  0.4939 [1 per cell]  10 Tb 3.53-3.62, 2 Ce 3.58



Entry 8:
Material: Tb3Ce
Method: DFT, PBE-GGA
State: optimized geometry

Output
relative energy among the computed polymorphs = 0.0 kJ/mol of formula units
E_form = 0.06 eV/atom
total magnetic moment = 1.0 μB per cell

a = 3.5677 Å, b = 3.5677 Å, c = 11.4926 Å
α = 90.00°, β = 90.00°, γ = 120.00°
Last column: nearest neighbours and their distance in Å.
Space group P-6m2 (No. 187)
One atom of each set of equivalent atoms:
Tb  0.0000  0.0000  0.0000 [1 per cell]  12 Tb 3.53-3.57
Tb  0.6667  0.3333  0.2499 [2 per cell]  9 Tb 3.53-3.57, 3 Ce 3.54
Ce  0.0000  0.0000  0.5000 [1 per cell]  6 Tb 3.54, 6 Ce 3.57